[1]
Entry from Alexandria: an optimized crystal structure of Rb2CdGaOs (GGA-PBE).

a = 6.806 Å, b = 6.806 Å, c = 4.939 Å
α = 90.00°, β = 90.00°, γ = 90.00°
Space group P4/mmm (No. 123)
Asymmetric unit:
Rb 0.000 0.500 0.000 x2
Cd 0.000 0.000 0.000 x1
Ga 0.000 0.000 0.500 x1
Os 0.500 0.500 0.500 x1

* DFT formation energy: 1.42 eV/atom
* energy: -0.14694 Ry/atom
* V: 229 Å³/cell


[2]
Entry from Alexandria: an optimized crystal structure of CdGaSiOs2 (GGA-PBE).

a = 4.958 Å, b = 4.958 Å, c = 4.592 Å
α = 90.00°, β = 90.00°, γ = 90.00°
Space group P4/mmm (No. 123)
Asymmetric unit:
Cd 0.000 0.000 0.000 x1
Ga 0.000 0.000 0.500 x1
Si 0.500 0.500 0.500 x1
Os 0.000 0.500 0.000 x2

* formation energy without anion corrections: 2.449 eV/atom
* energy: -0.28785 Ry/atom
* V: 113 Å³/cell


[3]
Entry from Alexandria: an optimized crystal structure of Cd2GaTeOs (GGA-PBE).

a = 5.453 Å, b = 5.453 Å, c = 5.430 Å
α = 90.00°, β = 90.00°, γ = 90.00°
Space group P4/mmm (No. 123)
Asymmetric unit:
Cd 0.000 0.500 0.000 x2
Ga 0.000 0.000 0.500 x1
Te 0.000 0.000 0.000 x1
Os 0.500 0.500 0.500 x1

* formation energy without anion corrections: 1.674 eV/atom
* energy: -0.15965 Ry/atom
* V: 161 Å³/cell


[4]
Entry from Alexandria: an optimized crystal structure of YCd2GaOs (GGA-PBE).

a = 4.863 Å, b = 4.863 Å, c = 4.821 Å
α = 90.00°, β = 90.00°, γ = 90.00°
Space group P4/mmm (No. 123)
Asymmetric unit:
Y 0.000 0.000 0.000 x1
Cd 0.000 0.500 0.500 x2
Ga 0.500 0.500 0.500 x1
Os 0.500 0.500 0.000 x1

* DFT formation energy: 0.53 eV/atom
* energy: -0.29284 Ry/atom
* V: 114 Å³/cell